The following is a GGA-PBE calculation of an optimized crystal structure of Tb3Sm3Au4, from Alexandria via LeMat-Bulk.

Computed properties:
calculated formation energy = -6.7 eV/f.u.

abc: 3.855 8.269 8.269
angles: 89.28 90.00 90.00
Positions (direct):
Au (0.000, 0.630, 0.370)
Au (0.000, 0.134, 0.126)
Au (0.000, 0.874, 0.866)
Au (0.000, 0.366, 0.634)
Sm (0.500, 0.838, 0.162)
Sm (0.500, 0.333, 0.338)
Sm (0.500, 0.662, 0.667)
Tb (0.000, 0.499, 0.003)
Tb (0.500, 0.166, 0.834)
Tb (0.000, 0.997, 0.501)